LiZr2Pt2 | Alexandria via LeMat-Bulk | PBE-GGA | optimized geometry; DFT formation energy = -0.806 eV per atom; uncorrected energy = -7.02 eV per atom; D(E_F) = 4.6 states/eV/f.u.; calculated volume = 195 Å³/cell; ΔE to the lowest computed polymorph = 0.000 eV/atom; SG = P4/mbm (127)
1.0
7.6578 0.0000 0.0000
0.0000 7.6578 0.0000
0.0000 0.0000 3.3198
Li Zr Pt
2 4 4
Direct
0.0000 0.0000 0.0000
0.5000 0.5000 0.0000
0.1637 0.3363 0.5000
0.3363 0.8363 0.5000
0.6637 0.1637 0.5000
0.8363 0.6637 0.5000
0.1361 0.6361 0.0000
0.3639 0.1361 0.0000
0.6361 0.8639 0.0000
0.8639 0.3639 0.0000